# 1
A plane-wave DFT calculation with PBE was carried out for crystalline MnVAs at its relaxed geometry.

a b c (Å): 2.9626 2.9624 10.2197
angles (deg): 89.86 89.58 90.00
Fractional positions:
Mn 0.2519 0.7507 0.5489
Mn 0.7481 0.2493 0.4511
V 0.7521 0.2507 0.9324
V 0.2479 0.7493 0.0676
As 0.7431 0.2477 0.2124
As 0.2569 0.7523 0.7876

Values from the calculation:
Formation energy   137 meV/atom
Symmetry   P-1



# 2
A plane-wave DFT calculation with PBE was carried out for crystalline Mn2VAs at its relaxed geometry.

a b c (Å): 3.7000 3.7000 8.8250
angles (deg): 77.90 77.90 90.00
Each line ends with the local moment (μB).
Fractional positions:
As 0.0000 0.0000 0.0000  -0.01
As 0.7500 0.2500 0.5000  -0.01
Mn 0.6367 0.1250 0.2500  2.38
Mn 0.1133 0.6250 0.2500  2.38
Mn 0.3750 0.3633 0.7500  2.38
Mn 0.8750 0.8867 0.7500  2.38
V 0.5000 0.5000 0.0000  -1.24
V 0.2500 0.7500 0.5000  -1.24

Values from the calculation:
Formation energy   228 meV/atom
Symmetry   I-42d



# 3
A plane-wave DFT calculation with PBE was carried out for crystalline MnVAs at its relaxed geometry.

a b c (Å): 4.8650 6.3998 6.3997
angles (deg): 78.43 71.88 71.88
Each line ends with the local moment (μB).
Fractional positions:
V 0.2670 0.7014 0.9514  -1.15
V 0.7330 0.7986 0.5486  -1.15
V 0.7330 0.2986 0.0486  -1.15
V 0.2670 0.2014 0.4514  -1.15
As 0.1126 0.4851 0.7351  0.00
As 0.1126 0.9851 0.2351  0.00
As 0.8874 0.5149 0.2649  0.00
As 0.8874 0.0149 0.7649  0.00
Mn 0.6478 0.4304 0.6804  2.21
Mn 0.6478 0.9304 0.1804  2.21
Mn 0.3522 0.5696 0.3196  2.21
Mn 0.3522 0.0696 0.8196  2.21

Values from the calculation:
Formation energy   -91 meV/atom
Symmetry   P2_1/m



# 4
A plane-wave DFT calculation with PBE was carried out for crystalline Mn4VAs2 at its relaxed geometry.

a b c (Å): 3.5906 3.5906 8.5137
angles (deg): 102.17 102.17 90.00
Each line ends with the local moment (μB).
Fractional positions:
Mn 0.1434 0.1434 0.2869  -2.60
Mn 0.8566 0.8566 0.7131  -2.60
Mn 0.2500 0.7500 0.5000  1.95
Mn 0.7500 0.2500 0.5000  1.95
V 0.0000 0.0000 0.0000  2.42
As 0.6258 0.6258 0.2516  -0.02
As 0.3742 0.3742 0.7484  -0.02

Values from the calculation:
Formation energy   225 meV/atom
Symmetry   I4/mmm



# 5
A plane-wave DFT calculation with PBE was carried out for crystalline Mn5V3As12 at its relaxed geometry.

a b c (Å): 12.6718 12.6718 12.6718
angles (deg): 109.47 109.47 109.47
Each line ends with the local moment (μB).
Fractional positions:
V 0.7500 0.3750 0.1250  1.55
V 0.8750 0.7500 0.1250  1.55
V 0.3750 0.7500 0.6250  1.55
V 0.2500 0.1250 0.3750  1.55
V 0.8750 0.1250 0.2500  1.55
V 0.3750 0.6250 0.2500  1.55
V 0.6250 0.3750 0.7500  1.55
V 0.1250 0.8750 0.7500  1.55
V 0.7500 0.8750 0.6250  1.55
V 0.6250 0.2500 0.3750  1.55
V 0.1250 0.2500 0.8750  1.55
V 0.2500 0.6250 0.8750  1.55
Mn 0.1250 0.3750 0.2500  3.24
Mn 0.0000 0.5000 0.0000  3.37
Mn 0.0000 0.0000 0.0000  3.37
Mn 0.3750 0.2500 0.1250  3.24
Mn 0.5000 0.0000 0.5000  3.37
Mn 0.5000 0.5000 0.0000  3.37
Mn 0.1250 0.7500 0.3750  3.24
Mn 0.7500 0.1250 0.8750  3.24
Mn 0.7500 0.6250 0.3750  3.24
Mn 0.3750 0.1250 0.7500  3.24
Mn 0.6250 0.8750 0.2500  3.24
Mn 0.5000 0.5000 0.5000  3.37
Mn 0.5000 0.0000 0.0000  3.37
Mn 0.0000 0.0000 0.5000  3.37
Mn 0.2500 0.3750 0.6250  3.24
Mn 0.2500 0.8750 0.1250  3.24
Mn 0.0000 0.5000 0.5000  3.37
Mn 0.8750 0.2500 0.6250  3.24
Mn 0.6250 0.7500 0.8750  3.24
Mn 0.8750 0.6250 0.7500  3.24
As 0.7334 0.1346 0.0592  -0.10
As 0.3258 0.5592 0.4246  -0.10
As 0.9408 0.3654 0.2666  -0.10
As 0.5592 0.2334 0.1346  -0.10
As 0.5988 0.7334 0.6742  -0.10
As 0.9408 0.5754 0.1742  -0.10
As 0.3258 0.7666 0.4012  -0.10
As 0.0754 0.9012 0.1346  -0.10
As 0.5754 0.9408 0.6742  -0.10
As 0.7334 0.5988 0.1742  -0.10
As 0.7666 0.4408 0.3654  -0.10
As 0.8258 0.9246 0.0592  -0.10
As 0.1346 0.7334 0.5592  -0.10
As 0.3654 0.4246 0.0988  -0.10
As 0.0988 0.9246 0.3654  -0.10
As 0.4012 0.1346 0.5754  -0.10
As 0.0988 0.1742 0.2334  -0.10
As 0.4408 0.6742 0.0754  -0.10
As 0.8258 0.9012 0.2666  -0.10
As 0.1346 0.4012 0.0754  -0.10
As 0.3654 0.9408 0.7666  -0.10
As 0.5754 0.6346 0.4012  -0.10
As 0.9246 0.8258 0.5592  -0.10
As 0.7666 0.3258 0.9012  -0.10
As 0.4246 0.3654 0.5988  -0.10
As 0.0754 0.1742 0.4408  -0.10
As 0.2334 0.6742 0.0988  -0.10
As 0.1742 0.0988 0.7334  -0.10
As 0.6346 0.0592 0.2334  -0.10
As 0.8654 0.5988 0.9246  -0.10
As 0.5592 0.3258 0.9246  -0.10
As 0.5988 0.8654 0.4246  -0.10
As 0.9012 0.8258 0.7666  -0.10
As 0.9012 0.0754 0.6346  -0.10
As 0.8654 0.2666 0.4408  -0.10
As 0.1742 0.0754 0.9408  -0.10
As 0.6346 0.5754 0.9012  -0.10
As 0.4246 0.0592 0.3258  -0.10
As 0.2666 0.4012 0.8258  -0.10
As 0.2334 0.5592 0.6346  -0.10
As 0.9246 0.0988 0.8654  -0.10
As 0.6742 0.2334 0.5988  -0.10
As 0.4408 0.7666 0.8654  -0.10
As 0.0592 0.4246 0.8258  -0.10
As 0.4012 0.2666 0.3258  -0.10
As 0.0592 0.6346 0.7334  -0.10
As 0.6742 0.4408 0.5754  -0.10
As 0.2666 0.8654 0.9408  -0.10

Values from the calculation:
Formation energy   57 meV/atom
Symmetry   Ia-3d



# 6
A plane-wave DFT calculation with PBE was carried out for crystalline MnVAs2 at its relaxed geometry.

a b c (Å): 3.4087 5.7312 6.1998
angles (deg): 90.00 90.00 90.00
Each line ends with the local moment (μB).
Fractional positions:
Mn 0.5000 0.4952 0.0630  2.45
Mn 0.5000 0.9952 0.9370  2.45
V 0.0000 0.5046 0.4436  -0.43
V 0.0000 0.0046 0.5564  -0.43
As 0.5000 0.3041 0.6761  -0.03
As 0.5000 0.8041 0.3239  -0.03
As 0.0000 0.6961 0.8320  -0.07
As 0.0000 0.1961 0.1680  -0.07

Values from the calculation:
Formation energy   -369 meV/atom
Symmetry   Pmc2_1



# 7
A plane-wave DFT calculation with PBE was carried out for crystalline MnV3As at its relaxed geometry.

a b c (Å): 4.5179 4.5179 4.5179
angles (deg): 90.00 90.00 90.00
Each line ends with the local moment (μB).
Fractional positions:
As 0.0000 0.0000 0.0000  0.05
Mn 0.5000 0.5000 0.5000  4.01
V 0.0000 0.5000 0.0000  -1.22
V 0.0000 0.0000 0.5000  -1.22
V 0.5000 0.0000 0.0000  -1.22

Values from the calculation:
Formation energy   772 meV/atom
Symmetry   Pm-3m



# 8
A plane-wave DFT calculation with PBE was carried out for crystalline MnVAs at its relaxed geometry.

a b c (Å): 4.2357 4.2357 4.2357
angles (deg): 78.59 117.26 137.73
Each line ends with the local moment (μB).
Fractional positions:
Mn 0.0000 0.2540 0.2540  2.46
V 0.0000 0.6248 0.6248  -1.48
As 0.5000 0.4411 0.9411  0.01

Values from the calculation:
Formation energy   -16 meV/atom
Symmetry   Imm2



# 9
A plane-wave DFT calculation with PBE was carried out for crystalline MnVAs at its relaxed geometry.

a b c (Å): 2.6857 2.6857 7.0216
angles (deg): 101.03 101.03 90.00
Each line ends with the local moment (μB).
Fractional positions:
As 0.7673 0.7673 0.5345  0.01
Mn 0.9564 0.9564 0.9128  3.07
V 0.1263 0.1263 0.2526  -0.65

Values from the calculation:
Formation energy   503 meV/atom
Symmetry   I4mm



# 10
A plane-wave DFT calculation with PBE was carried out for crystalline MnVAs2 at its relaxed geometry.

a b c (Å): 3.5128 3.5128 6.6863
angles (deg): 74.77 74.77 60.00
Each line ends with the local moment (μB).
Fractional positions:
As 0.2495 0.2495 0.2516  -0.09
As 0.7505 0.7505 0.7484  -0.09
Mn 0.5000 0.5000 0.5000  3.63
V 0.0000 0.0000 0.0000  1.76

Values from the calculation:
Formation energy   -126 meV/atom
Symmetry   R-3m



# 11
A plane-wave DFT calculation with PBE was carried out for crystalline Mn2VAs at its relaxed geometry.

a b c (Å): 2.9778 4.0011 4.0011
angles (deg): 90.00 90.00 90.00
Fractional positions:
As 0.5000 0.0000 0.0000
Mn 0.0000 0.0000 0.5000
Mn 0.0000 0.5000 0.0000
V 0.5000 0.5000 0.5000

Values from the calculation:
Formation energy   -163 meV/atom
Symmetry   P4/mmm



# 12
A plane-wave DFT calculation with PBE was carried out for crystalline MnVAs3 at its relaxed geometry.

a b c (Å): 4.7459 4.7459 4.7459
angles (deg): 90.00 90.00 90.00
Each line ends with the local moment (μB).
Fractional positions:
As 0.0000 0.5000 0.0000  -0.09
As 0.0000 0.0000 0.5000  -0.09
As 0.5000 0.0000 0.0000  -0.09
Mn 0.5000 0.5000 0.5000  4.35
V 0.0000 0.0000 0.0000  0.35

Values from the calculation:
Formation energy   431 meV/atom
Symmetry   Pm-3m



# 13
A plane-wave DFT calculation with PBE was carried out for crystalline MnVAs2 at its relaxed geometry.

a b c (Å): 3.5621 3.5620 5.7823
angles (deg): 90.00 90.00 60.00
Each line ends with the local moment (μB).
Fractional positions:
Mn 0.0000 0.0000 0.5000  2.88
V 0.0000 0.0000 0.0000  0.67
As 0.6667 0.6667 0.2568  -0.08
As 0.3333 0.3333 0.7432  -0.08

Values from the calculation:
Formation energy   -343 meV/atom
Symmetry   P-3m1



# 14
A plane-wave DFT calculation with PBE was carried out for crystalline MnVAs2 at its relaxed geometry.

a b c (Å): 5.7553 5.7553 6.9181
angles (deg): 65.42 65.42 90.00
Each line ends with the local moment (μB).
Fractional positions:
As 0.6205 0.1250 0.2500  -0.14
As 0.1295 0.6250 0.2500  -0.14
As 0.3750 0.3795 0.7500  -0.14
As 0.8750 0.8705 0.7500  -0.14
Mn 0.0000 0.0000 0.0000  3.80
Mn 0.7500 0.2500 0.5000  3.80
V 0.5000 0.5000 0.0000  1.97
V 0.2500 0.7500 0.5000  1.97

Values from the calculation:
Formation energy   126 meV/atom
Symmetry   I-42d



# 15
A plane-wave DFT calculation with PBE was carried out for crystalline MnVAs at its relaxed geometry.

a b c (Å): 2.7451 4.0706 4.0706
angles (deg): 120.00 90.00 90.00
Each line ends with the local moment (μB).
Fractional positions:
As 0.8327 0.0000 0.0000  0.00
Mn 0.8374 0.6667 0.3333  1.14
V 0.3299 0.3333 0.6667  -0.41

Values from the calculation:
Formation energy   -144 meV/atom
Symmetry   P3m1



# 16
A plane-wave DFT calculation with PBE was carried out for crystalline MnVAs2 at its relaxed geometry.

a b c (Å): 4.3350 4.3350 4.3350
angles (deg): 60.00 60.00 60.00
Each line ends with the local moment (μB).
Fractional positions:
As 0.2500 0.2500 0.2500  -0.07
As 0.7500 0.7500 0.7500  -0.07
Mn 0.5000 0.5000 0.5000  2.54
V 0.0000 0.0000 0.0000  -0.05

Values from the calculation:
Formation energy   -71 meV/atom
Symmetry   Fm-3m



# 17
A plane-wave DFT calculation with PBE was carried out for crystalline Mn2As2W at its relaxed geometry.

a b c (Å): 4.0067 4.0067 5.3507
angles (deg): 68.01 68.01 90.00
Each line ends with the local moment (μB).
Fractional positions:
As 0.3708 0.3708 0.2584  0.00
As 0.6292 0.6292 0.7416  0.00
Mn 0.7500 0.2500 0.5000  0.09
Mn 0.2500 0.7500 0.5000  0.09
W 0.0000 0.0000 0.0000  1.21

Values from the calculation:
Formation energy   522 meV/atom
Symmetry   I4/mmm



# 18
A plane-wave DFT calculation with PBE was carried out for crystalline MnAsW2 at its relaxed geometry.

a b c (Å): 4.7942 4.7942 4.3947
angles (deg): 76.48 76.48 38.35
Each line ends with the local moment (μB).
Fractional positions:
As 0.7500 0.7500 0.7500  -0.03
Mn 0.2500 0.2500 0.2500  2.50
W 0.9998 0.9998 0.0053  -0.10
W 0.5002 0.5002 0.4947  -0.10

Values from the calculation:
Formation energy   276 meV/atom
Symmetry   C2/m



# 19
A plane-wave DFT calculation with PBE was carried out for crystalline MnAsW2 at its relaxed geometry.

a b c (Å): 5.0035 5.0035 4.3674
angles (deg): 64.11 64.11 37.17
Each line ends with the local moment (μB).
Fractional positions:
As 0.5126 0.5126 0.4874  0.00
Mn 0.2382 0.2382 0.2618  2.18
W 0.9899 0.9899 0.0100  -0.10
W 0.7593 0.7593 0.7408  -0.05

Values from the calculation:
Formation energy   231 meV/atom
Symmetry   Imm2



# 20
A plane-wave DFT calculation with PBE was carried out for crystalline MnAsW2 at its relaxed geometry.

a b c (Å): 8.8477 8.8477 8.8477
angles (deg): 18.36 18.36 18.36
Each line ends with the local moment (μB).
Fractional positions:
As 0.2500 0.2500 0.2500  0.00
Mn 0.7500 0.7500 0.7500  0.15
W 0.0043 0.0043 0.0043  -0.02
W 0.4957 0.4957 0.4957  -0.02

Values from the calculation:
Formation energy   438 meV/atom
Symmetry   R-3m